# 1
The following is a DFT calculation (PBE) of a geometry-optimized HgRh2W structure.

Geometry as POSCAR:
```
HgRh2W
1.0
-2.354 0.244 -2.473
-1.635 -2.718 1.288
-3.119 3.444 3.307
Hg Rh W
1 2 1
direct
0.500 0.500 0.762
0.000 0.000 0.015
0.500 0.500 0.274
0.000 0.000 0.448
```

calculated total energy = -6.647 eV/atom
volume = 67 Å³/cell

---

# 2
The following is a DFT calculation (PBE) of a geometry-optimized HgRh2W structure.

Geometry as POSCAR:
```
HgRh2W
1.0
-0.522 2.943 6.555
-5.678 -4.196 1.432
-1.373 -2.613 5.023
Rh Hg W
4 2 2
direct
0.579 0.125 0.250
0.171 0.625 0.250
0.375 0.421 0.750
0.875 0.829 0.750
0.000 0.000 0.000
0.750 0.250 0.500
0.500 0.500 0.000
0.250 0.750 0.500
```

calculated total energy = -6.494 eV/atom
volume = 147 Å³/cell

---

# 3
The following is a DFT calculation (PBE) of a geometry-optimized HgRh2W structure.

Geometry as POSCAR:
```
HgRh2W
1.0
-3.529 2.626 -1.810
0.219 -2.493 -4.045
-1.922 -1.863 1.044
Hg Rh W
1 2 1
direct
0.000 0.000 0.500
0.500 0.000 0.000
0.000 0.500 0.000
0.500 0.500 0.500
```

calculated total energy = -6.679 eV/atom
volume = 65 Å³/cell

---

# 4
The following is a DFT calculation (PBE) of a geometry-optimized HgRh2W structure.

Geometry as POSCAR:
```
HgRh2W
1.0
2.837 0.000 0.000
0.000 2.837 0.000
0.000 0.000 8.047
Hg Rh W
1 2 1
direct
0.500 0.500 0.757
0.000 0.000 0.013
0.500 0.500 0.256
0.000 0.000 0.475
```

calculated total energy = -6.713 eV/atom
volume = 65 Å³/cell

---

# 5
The following is a DFT calculation (PBE) of a geometry-optimized YHgRh structure.

Geometry as POSCAR:
```
YHgRh
1.0
-3.258 -2.923 0.787
4.427 -2.096 -2.024
2.110 -0.868 5.513
Y Hg Rh
2 2 2
direct
0.201 0.402 0.750
0.799 0.598 0.250
0.500 0.000 0.500
0.500 0.000 0.000
0.105 0.210 0.250
0.895 0.790 0.750
```

calculated total energy = -5.279 eV/atom
volume = 128 Å³/cell

---

# 6
The following is a DFT calculation (PBE) of a geometry-optimized Y4HgRh2 structure.

Geometry as POSCAR:
```
Y4HgRh2
1.0
-0.601 -0.328 5.009
-3.355 -2.168 -3.099
8.139 -12.796 0.140
Y Hg Rh
8 2 4
direct
0.167 0.833 0.876
0.167 0.833 0.624
0.833 0.167 0.124
0.833 0.167 0.376
0.166 0.834 0.250
0.834 0.166 0.750
0.500 0.500 0.000
0.500 0.500 0.500
0.499 0.501 0.250
0.501 0.499 0.750
0.834 0.166 0.560
0.166 0.834 0.060
0.834 0.166 0.940
0.166 0.834 0.440
```

calculated total energy = -6.438 eV/atom
volume = 335 Å³/cell

---

# 7
The following is a DFT calculation (PBE) of a geometry-optimized Y6HgRh5 structure.

Geometry as POSCAR:
```
Y6HgRh5
1.0
-3.007 3.453 -1.730
-5.408 -4.532 0.353
0.087 0.498 7.722
Y Rh Hg
6 5 1
direct
0.829 0.747 0.657
0.829 0.253 0.657
0.500 0.262 0.000
0.500 0.738 0.000
0.171 0.747 0.343
0.171 0.253 0.343
0.667 0.500 0.334
0.335 0.000 0.669
0.000 0.500 0.000
0.665 0.000 0.331
0.333 0.500 0.666
0.000 0.000 0.000
```

calculated total energy = -7.082 eV/atom
volume = 254 Å³/cell

---

# 8
The following is a DFT calculation (PBE) of a geometry-optimized Y2Hg3Rh structure.

Geometry as POSCAR:
```
Y2Hg3Rh
1.0
-2.860 1.408 -1.274
-2.435 -4.083 0.954
-1.952 2.950 7.643
Y Hg Rh
2 3 1
direct
0.000 0.500 0.047
0.000 0.000 0.473
0.500 0.000 0.830
0.500 0.000 0.167
0.500 0.500 0.655
0.500 0.500 0.328
```

calculated total energy = -3.990 eV/atom
volume = 140 Å³/cell

---

# 9
The following is a DFT calculation (PBE) of a geometry-optimized YHgRh structure.

Geometry as POSCAR:
```
YHgRh
1.0
-4.025 -2.344 -0.218
-1.630 -1.456 -4.119
0.003 -4.547 -1.033
Hg Rh Y
1 1 1
direct
0.500 0.500 0.500
0.750 0.750 0.750
0.000 0.000 0.000
```

calculated total energy = -5.182 eV/atom
volume = 72 Å³/cell

---

# 10
The following is a DFT calculation (PBE) of a geometry-optimized YHgRh structure.

Geometry as POSCAR:
```
YHgRh
1.0
-1.337 0.870 -5.163
0.415 -2.297 -4.874
-3.073 -1.771 -0.780
Y Rh Hg
1 1 1
direct
0.680 0.680 0.320
0.326 0.326 0.674
0.994 0.994 0.006
```

calculated total energy = -5.223 eV/atom
volume = 63 Å³/cell

---

# 11
The following is a DFT calculation (PBE) of a geometry-optimized Y6HgRh2 structure.

Geometry as POSCAR:
```
Y6HgRh2
1.0
-3.325 1.836 -7.602
-4.723 -5.509 4.423
0.393 6.947 4.878
Y Hg Rh
12 2 4
direct
0.535 0.716 0.819
0.465 0.284 0.181
0.104 0.284 0.819
0.896 0.716 0.181
0.802 0.761 0.563
0.198 0.239 0.437
0.198 0.761 0.959
0.802 0.239 0.041
0.693 0.364 0.671
0.307 0.636 0.329
0.307 0.978 0.671
0.693 0.022 0.329
0.000 0.500 0.500
0.000 0.000 0.000
0.500 0.370 0.870
0.500 0.630 0.130
0.663 0.000 0.663
0.337 0.000 0.337
```

calculated total energy = -6.535 eV/atom
volume = 470 Å³/cell

---

# 12
The following is a DFT calculation (PBE) of a geometry-optimized YHgRh structure.

Geometry as POSCAR:
```
YHgRh
1.0
4.749 0.000 0.000
2.375 4.113 0.000
2.375 1.371 3.878
Hg Rh Y
1 1 1
direct
0.000 0.000 0.000
0.500 0.500 0.500
0.750 0.750 0.750
```

calculated total energy = -4.726 eV/atom
volume = 76 Å³/cell

---

Please write out number 6 again, unchanged.
The following is a DFT calculation (PBE) of a geometry-optimized Y4HgRh2 structure.

Geometry as POSCAR:
```
Y4HgRh2
1.0
-0.601 -0.328 5.009
-3.355 -2.168 -3.099
8.139 -12.796 0.140
Y Hg Rh
8 2 4
direct
0.167 0.833 0.876
0.167 0.833 0.624
0.833 0.167 0.124
0.833 0.167 0.376
0.166 0.834 0.250
0.834 0.166 0.750
0.500 0.500 0.000
0.500 0.500 0.500
0.499 0.501 0.250
0.501 0.499 0.750
0.834 0.166 0.560
0.166 0.834 0.060
0.834 0.166 0.940
0.166 0.834 0.440
```

calculated total energy = -6.438 eV/atom
volume = 335 Å³/cell